# TlCoN2F

A relaxed structure of TlCoN2F (PBE with a Hubbard U, the Alexandria database).

Lattice parameters (Å, degrees): 3.7400 3.7400 4.7622 90.00 90.00 90.00
With the nearest neighbours (Å) after each atom.
Space group P4/mmm (No. 123)
Inequivalent atoms, fractional coordinates:
1 Tl 0.0000 0.0000 0.0000  4 F 2.64
2 Co 0.5000 0.5000 0.5000  4 N 1.87
3 N 0.0000 0.5000 0.5000  2 Co 1.87
4 F 0.5000 0.5000 0.0000  2 Co 2.38, 4 Tl 2.64

total energy = -0.175 hartree per atom
ρ = 7.74 g cm⁻³